(1)
A relaxed YSbSe3 crystal. Source: Alexandria via LeMat-Bulk, functional PBE.

Fermi-level density of states = 0.1 states/eV/cell
Spin magnetization = 0.00 μB per atom
Excess energy over the best structure of this formula in the dataset = 778 meV/atom
Raw formation energy = -0.28 eV/atom

a = 5.268 Å, b = 5.268 Å, c = 5.268 Å
α = 90.00°, β = 90.00°, γ = 90.00°
Space group Pm-3m (No. 221)
Asymmetric unit:
Y  0.000  0.000  0.000
Sb  0.500  0.500  0.500
Se  0.000  0.500  0.500

---

(2)
A relaxed Y5Sb2Se2 crystal. Source: Alexandria via LeMat-Bulk, functional PBE.

Fermi-level density of states = 34.7 states/eV/cell
Spin magnetization = 0.00 μB per atom
Raw formation energy = -1.20 eV/atom

a = 14.940 Å, b = 7.889 Å, c = 7.961 Å
α = 90.00°, β = 90.00°, γ = 90.00°
Space group Cmce (No. 64)
Asymmetric unit:
Y  0.000  0.000  0.000
Y  0.130  0.157  0.342
Sb  0.201  0.000  0.000
Se  0.000  0.146  0.643

---

(3)
A relaxed YSb2Se crystal. Source: Alexandria via LeMat-Bulk, functional PBE.

Fermi-level density of states = 12.4 states/eV/cell
Spin magnetization = 0.00 μB per atom
Raw formation energy = -0.65 eV/atom

a = 4.1219 Å, b = 4.1219 Å, c = 26.7104 Å
α = 90.00°, β = 90.00°, γ = 120.00°
Space group R3m (No. 160, hexagonal axes)
Asymmetric unit:
Y  0.0000  0.0000  0.0000
Sb  0.0000  0.0000  0.2440
Sb  0.0000  0.0000  0.5112
Se  0.0000  0.0000  0.7180

---

(4)
A relaxed YSb3Se crystal. Source: Alexandria via LeMat-Bulk, functional PBE.

Fermi-level density of states = 2.8 states/eV/cell
Spin magnetization = 0.00 μB per atom
Excess energy over the best structure of this formula in the dataset = 0 meV/atom
Raw formation energy = 0.15 eV/atom

a = 5.363 Å, b = 5.363 Å, c = 5.363 Å
α = 90.00°, β = 90.00°, γ = 90.00°
Space group Pm-3m (No. 221)
Asymmetric unit:
Y  0.000  0.000  0.000
Sb  0.000  0.500  0.500
Se  0.500  0.500  0.500

---

Repeat the fourth record exactly.
A relaxed YSb3Se crystal. Source: Alexandria via LeMat-Bulk, functional PBE.

Fermi-level density of states = 2.8 states/eV/cell
Spin magnetization = 0.00 μB per atom
Excess energy over the best structure of this formula in the dataset = 0 meV/atom
Raw formation energy = 0.15 eV/atom

a = 5.363 Å, b = 5.363 Å, c = 5.363 Å
α = 90.00°, β = 90.00°, γ = 90.00°
Space group Pm-3m (No. 221)
Asymmetric unit:
Y  0.000  0.000  0.000
Sb  0.000  0.500  0.500
Se  0.500  0.500  0.500